1.
VASP calculation (PBEsol) on a relaxed structure of Ta2AlRe.

abc: 3.281 4.432 8.859
angles: 90.00 90.00 90.00
Element x y z (fractional)
1 Ta 0.000 0.000 0.236
2 Ta 0.000 0.000 0.764
3 Ta 0.500 0.500 0.264
4 Ta 0.500 0.500 0.736
5 Al 0.000 0.500 0.000
6 Al 0.500 0.000 0.500
7 Re 0.000 0.500 0.500
8 Re 0.500 0.000 0.000

Results
SG   Immm (71)
Calculated total energy   -10.8234 eV/atom
Energy of formation   -192 meV per atom

***

2.
VASP calculation (PBEsol) on a relaxed structure of Ta2AlRe.

abc: 5.509 8.900 2.752
angles: 90.00 108.10 90.00
Element x y z (fractional)
1 Ta 0.250 0.250 0.000
2 Ta 0.250 0.750 0.000
3 Ta 0.750 0.250 0.000
4 Ta 0.750 0.750 0.000
5 Al 0.000 0.000 0.500
6 Al 0.500 0.500 0.500
7 Re 0.000 0.500 0.500
8 Re 0.500 0.000 0.500

Results
SG   C2/m (12)
Calculated total energy   -10.7728 eV/atom
Energy of formation   -141 meV per atom

***

3.
VASP calculation (PBEsol) on a relaxed structure of TaAl2Re.

abc: 2.744 4.417 5.066
angles: 90.00 98.06 90.00
Element x y z (fractional)
1 Ta 0.000 0.000 0.000
2 Al 0.541 0.000 0.504
3 Al 0.597 0.500 0.232
4 Re 0.189 0.500 0.723

Results
SG   Pm (6)
Calculated total energy   -8.6755 eV/atom
Energy of formation   -159 meV per atom

***

4.
VASP calculation (PBEsol) on a relaxed structure of TaAl2Re.

abc: 4.412 4.412 6.191
angles: 90.00 90.00 90.00
Element x y z (fractional)
1 Ta 0.000 0.000 0.000
2 Ta 0.500 0.500 0.500
3 Al 0.000 0.000 0.500
4 Al 0.000 0.500 0.750
5 Al 0.500 0.000 0.250
6 Al 0.500 0.500 0.000
7 Re 0.000 0.500 0.250
8 Re 0.500 0.000 0.750

Results
SG   I-4m2 (119)
Calculated total energy   -8.7771 eV/atom
Energy of formation   -261 meV per atom

***

5.
VASP calculation (PBEsol) on a relaxed structure of TbAl10Re2.

abc: 6.902 6.902 17.958
angles: 90.00 90.00 96.33
Element x y z (fractional)
1 Tb 0.000 0.000 0.000
2 Tb 0.000 0.000 0.500
3 Tb 0.257 0.743 0.750
4 Tb 0.743 0.257 0.250
5 Al 0.000 0.500 0.000
6 Al 0.000 0.500 0.500
7 Al 0.034 0.966 0.175
8 Al 0.034 0.966 0.325
9 Al 0.089 0.611 0.250
10 Al 0.091 0.346 0.131
11 Al 0.091 0.346 0.369
12 Al 0.249 0.751 0.092
13 Al 0.249 0.751 0.408
14 Al 0.271 0.296 0.750
15 Al 0.282 0.718 0.575
16 Al 0.282 0.718 0.925
17 Al 0.296 0.271 0.250
18 Al 0.346 0.091 0.631
19 Al 0.346 0.091 0.869
20 Al 0.349 0.349 0.000
21 Al 0.349 0.349 0.500
22 Al 0.389 0.911 0.250
23 Al 0.495 0.505 0.144
24 Al 0.495 0.505 0.356
25 Al 0.500 0.000 0.000
26 Al 0.500 0.000 0.500
27 Al 0.505 0.495 0.644
28 Al 0.505 0.495 0.856
29 Al 0.611 0.089 0.750
30 Al 0.651 0.651 0.000
31 Al 0.651 0.651 0.500
32 Al 0.654 0.909 0.131
33 Al 0.654 0.909 0.369
34 Al 0.704 0.729 0.750
35 Al 0.718 0.282 0.075
36 Al 0.718 0.282 0.425
37 Al 0.729 0.704 0.250
38 Al 0.751 0.249 0.592
39 Al 0.751 0.249 0.908
40 Al 0.909 0.654 0.631
41 Al 0.909 0.654 0.869
42 Al 0.911 0.389 0.750
43 Al 0.966 0.034 0.675
44 Al 0.966 0.034 0.825
45 Re 0.129 0.374 0.621
46 Re 0.129 0.374 0.879
47 Re 0.374 0.129 0.121
48 Re 0.374 0.129 0.379
49 Re 0.626 0.871 0.621
50 Re 0.626 0.871 0.879
51 Re 0.871 0.626 0.121
52 Re 0.871 0.626 0.379

Results
SG   Cmcm (63)
Calculated total energy   -5.9297 eV/atom
Energy of formation   -346 meV per atom

***

6.
VASP calculation (PBEsol) on a relaxed structure of Al2ReTc.

abc: 3.049 4.157 4.481
angles: 90.00 90.00 90.00
Element x y z (fractional)
1 Al 0.000 0.000 0.000
2 Al 0.500 0.000 0.500
3 Re 0.000 0.500 0.500
4 Tc 0.500 0.500 0.000

Results
SG   Pmmm (47)
Calculated total energy   -8.2862 eV/atom
Energy of formation   -91 meV per atom

***

7.
VASP calculation (PBEsol) on a relaxed structure of AlReTc2.

abc: 2.864 2.864 6.815
angles: 90.00 90.00 90.00
Element x y z (fractional)
1 Al 0.000 0.000 0.000
2 Re 0.500 0.500 0.251
3 Tc 0.000 0.000 0.506
4 Tc 0.500 0.500 0.757

Results
SG   P4mm (99)
Calculated total energy   -10.1052 eV/atom
Energy of formation   -116 meV per atom

***

8.
VASP calculation (PBEsol) on a relaxed structure of Al2ReTc.

abc: 3.062 3.062 5.953
angles: 90.00 90.00 90.00
Element x y z (fractional)
1 Al 0.000 0.000 0.000
2 Al 0.500 0.500 0.262
3 Re 0.000 0.000 0.501
4 Tc 0.500 0.500 0.767

Results
SG   P4mm (99)
Calculated total energy   -8.5473 eV/atom
Energy of formation   -352 meV per atom